(1)
A plane-wave DFT calculation with PBEsol was carried out for SrSiTe2 after structural relaxation.

Total DFT energy (no corrections) ... -3.729 eV per atom
Energy relative to the elements, uncorrected ... -6.7 kJ/mol of atoms

```
SrSiTe2
1.0
0.0000 3.8150 3.8150
3.8150 0.0000 3.8150
3.8150 3.8150 0.0000
Sr Si Te
1 1 2
direct
0.0000 0.0000 0.0000
0.7500 0.7500 0.7500
0.2500 0.2500 0.2500
0.5000 0.5000 0.5000
```

---

(2)
A plane-wave DFT calculation with PBEsol was carried out for Sc3HSe after structural relaxation.

Total DFT energy (no corrections) ... -5.927 eV per atom

```
Sc3HSe
1.0
4.2524 0.0000 0.0000
0.0000 4.2524 0.0000
0.0000 0.0000 4.2524
Sc H Se
3 1 1
direct
0.0000 0.0000 0.5000
0.0000 0.5000 0.0000
0.5000 0.0000 0.0000
0.0000 0.0000 0.0000
0.5000 0.5000 0.5000
```

---

(3)
A plane-wave DFT calculation with PBEsol was carried out for AuI2 after structural relaxation.

Total DFT energy (no corrections) ... -2.489 eV per atom
Energy relative to the elements, uncorrected ... -0.3 kJ/mol of atoms

```
AuI2
1.0
3.9749 0.0000 0.0000
1.9733 4.0484 0.0000
1.9637 -0.5452 6.3772
Au I
1 2
direct
0.0000 0.0000 0.0000
0.2499 0.2453 0.2596
0.7501 0.7547 0.7404
```

---

(4)
A plane-wave DFT calculation with PBEsol was carried out for CrIn3W after structural relaxation.

Total DFT energy (no corrections) ... -5.376 eV per atom
Formation enthalpy at 0 K ... 1223 meV per atom

```
CrIn3W
1.0
5.1873 0.0000 0.0000
0.0000 5.1873 0.0000
0.0000 0.0000 5.1873
Cr In W
1 3 1
direct
0.0000 0.0000 0.0000
0.0000 0.5000 0.5000
0.5000 0.0000 0.5000
0.5000 0.5000 0.0000
0.5000 0.5000 0.5000
```

---

(5)
A plane-wave DFT calculation with PBEsol was carried out for ScSe2Cl after structural relaxation.

Total DFT energy (no corrections) ... -4.913 eV per atom
Energy relative to the lowest polymorph listed for this composition ... 0.0 kJ per mole of atoms
Energy relative to the elements, uncorrected ... -80.6 kJ/mol of atoms

```
ScSe2Cl
1.0
2.0403 -2.2767 0.0000
2.0403 2.2767 0.0000
0.0000 0.0000 9.7860
Sc Se Cl
1 2 1
direct
0.0000 0.0000 0.0000
0.0000 0.0000 0.4942
0.5000 0.5000 0.8252
0.5000 0.5000 0.1624
```

---

(6)
A plane-wave DFT calculation with PBEsol was carried out for LaScCd after structural relaxation.

Total DFT energy (no corrections) ... -3.831 eV per atom
Formation enthalpy at 0 K ... 551 meV per atom
Energy relative to the lowest polymorph listed for this composition ... 69.3 kJ per mole of atoms

```
LaScCd
1.0
0.0000 3.5561 3.5561
3.5561 0.0000 3.5561
3.5561 3.5561 0.0000
La Sc Cd
1 1 1
direct
0.0000 0.0000 0.0000
0.2500 0.2500 0.2500
0.7500 0.7500 0.7500
```

---

(7)
A plane-wave DFT calculation with PBEsol was carried out for CsBiI2N after structural relaxation.

Total DFT energy (no corrections) ... -2.319 eV per atom
Energy relative to the elements, uncorrected ... 109.8 kJ/mol of atoms

```
CsBiI2N
1.0
6.6832 0.0000 0.0000
0.0000 6.6832 0.0000
0.0000 0.0000 4.4094
Cs Bi I N
1 1 2 1
direct
0.0000 0.0000 0.0000
0.5000 0.5000 0.5000
0.0000 0.5000 0.0000
0.5000 0.0000 0.0000
0.0000 0.0000 0.5000
```

---

(8)
A plane-wave DFT calculation with PBEsol was carried out for KAgPt2 after structural relaxation.

Total DFT energy (no corrections) ... -4.349 eV per atom
Formation enthalpy at 0 K ... 244 meV per atom

```
KAgPt2
1.0
-1.3671 2.6121 5.4069
1.3671 -2.6121 5.4069
1.3671 2.6121 -5.4069
K Ag Pt
1 1 2
direct
0.0000 0.0000 0.0000
0.2891 0.7891 0.5000
0.5119 0.5119 0.0000
0.7176 0.2176 0.5000
```